The following is a PBE calculation of a geometry-optimized LiSc2Ni2 structure, from Alexandria.

For the energy above the most stable polymorph in this dataset, the calculation gives 0 meV/atom. The calculated formation energy is -0.321 eV per atom.

It has space group P4/mbm (No. 127), with a = 7.0489 Å, b = 7.0489 Å, c = 3.3765 Å, α = 90.00°, β = 90.00° and γ = 90.00°. The distinct sites, in fractional coordinates, are Li at (0.0000, 0.0000, 0.0000), Sc at (0.1642, 0.3358, 0.5000) and Ni at (0.1293, 0.6293, 0.0000).

---

The following is a PBE calculation of a geometry-optimized LiScNi structure, from Alexandria.

For the energy above the most stable polymorph in this dataset, the calculation gives 49 meV/atom. The calculated formation energy is -0.146 eV per atom.

It has space group I4mm (No. 107), with a = 3.2543 Å, b = 3.2543 Å, c = 9.0001 Å, α = 90.00°, β = 90.00° and γ = 90.00°. The distinct sites, in fractional coordinates, are Li at (0.0000, 0.0000, 0.0000), Sc at (0.0000, 0.0000, 0.2959) and Ni at (0.0000, 0.0000, 0.6491).

---

The following is a PBE calculation of a geometry-optimized Li2ScNi2 structure, from Alexandria.

For the energy above the most stable polymorph in this dataset, the calculation gives 62 meV/atom. The calculated formation energy is -0.030 eV per atom.

It has space group P4/mbm (No. 127), with a = 6.9183 Å, b = 6.9183 Å, c = 2.8185 Å, α = 90.00°, β = 90.00° and γ = 90.00°. The distinct sites, in fractional coordinates, are Li at (0.1131, 0.3869, 0.0000), Sc at (0.0000, 0.0000, 0.0000) and Ni at (0.1868, 0.6868, 0.5000).

---

> calculated formation energy of number 2 (LiScNi)?

-0.146 eV per atom